Crystalline KSrTe2 at its relaxed geometry, computed with PBE-GGA.

The structure in POSCAR format:
```
KSrTe2
1.0
-0.5817 -0.3113 4.2518
0.7020 -4.2396 -0.2145
7.4696 1.1807 1.1083
Te K Sr
2 1 1
Direct
0.0000 0.0000 0.5244 Te
0.0000 0.0000 0.9756 Te
0.5000 0.5000 0.2500 K
0.5000 0.5000 0.7500 Sr
```

Calculated values
SG = P4/mmm, No. 123
ΔE_f (raw) = -4.524 eV/f.u.
total DFT energy (no corrections) = -3.3966 eV per atom
Fermi-level density of states = 0.7131 states/eV per atom